# 1
A relaxed Ni2PCl crystal. Source: Alexandria, functional PBE.

The magnetic moment is 0.000 μB per cell. The raw formation energy comes out at -138 meV/atom. The value obtained for the energy is -4.8427 eV per atom.

It has space group Pmmm (No. 47), with a = 2.931 Å, b = 3.048 Å, c = 6.272 Å, α = 90.00°, β = 90.00° and γ = 90.00°. The asymmetric unit holds Ni at (0.000, 0.000, 0.189), P at (0.500, 0.500, 0.000) and Cl at (0.500, 0.000, 0.500).

---

# 2
A relaxed HgRhCl2 crystal. Source: Alexandria, functional PBE.

The magnetic moment is 2.029 μB per cell. The raw formation energy comes out at 424 meV/atom. The value obtained for the energy is -2.4130 eV per atom.

It has space group P4/mmm (No. 123), with a = 4.866 Å, b = 4.866 Å, c = 3.441 Å, α = 90.00°, β = 90.00° and γ = 90.00°. The asymmetric unit holds Hg at (0.000, 0.000, 0.000), Rh at (0.500, 0.500, 0.000) and Cl at (0.000, 0.500, 0.500).

---

# 3
A relaxed Ho6TlS3 crystal. Source: Alexandria, functional PBE.

The magnetic moment is 0.000 μB per cell. The raw formation energy comes out at -1192 meV/atom. The value obtained for the energy is -5.4134 eV per atom.

It has space group P2_1/m (No. 11), with a = 11.347 Å, b = 3.756 Å, c = 12.037 Å, α = 90.00°, β = 103.65° and γ = 90.00°. The asymmetric unit holds Ho at (0.030, 0.250, 0.140), Ho at (0.128, 0.750, 0.454), Ho at (0.200, 0.250, 0.748), Ho at (0.316, 0.750, 0.029), Ho at (0.319, 0.250, 0.277), Ho at (0.417, 0.250, 0.596), Tl at (0.451, 0.750, 0.826), S at (0.036, 0.750, 0.649), S at (0.136, 0.250, 0.952) and S at (0.358, 0.750, 0.437).

---

# 4
A relaxed Ti2As2Cl crystal. Source: Alexandria, functional PBE.

The magnetic moment is 0.000 μB per cell. The raw formation energy comes out at -801 meV/atom. The value obtained for the energy is -6.1882 eV per atom.

It has space group P4/mbm (No. 127), with a = 7.155 Å, b = 7.155 Å, c = 3.392 Å, α = 90.00°, β = 90.00° and γ = 90.00°. The asymmetric unit holds Ti at (0.150, 0.350, 0.000), As at (0.138, 0.638, 0.500) and Cl at (0.000, 0.000, 0.000).

---

# 5
A relaxed LiNiC3 crystal. Source: Alexandria, functional PBE.

The magnetic moment is 0.000 μB per cell. The value obtained for the calculated formation energy is 2.11 eV/atom. The value obtained for the energy is -4.9673 eV per atom.

It has space group Pm-3m (No. 221), with a = 3.776 Å, b = 3.776 Å, c = 3.776 Å, α = 90.00°, β = 90.00° and γ = 90.00°. The asymmetric unit holds Li at (0.000, 0.000, 0.000), Ni at (0.500, 0.500, 0.500) and C at (0.000, 0.500, 0.500).

---

# 6
A relaxed YPd6Au2 crystal. Source: Alexandria, functional PBE.

The magnetic moment is 0.000 μB per cell. The value obtained for the calculated formation energy is -0.21 eV/atom. The value obtained for the energy is -5.1139 eV per atom.

It has space group R-3m (No. 166, hexagonal axes), with a = 4.5159 Å, b = 4.5159 Å, c = 28.3279 Å, α = 90.00°, β = 90.00° and γ = 120.00°. The asymmetric unit holds Y at (0.0000, 0.0000, 0.0000), Pd at (0.0000, 0.0000, 0.1972), Pd at (0.0000, 0.0000, 0.2942), Pd at (0.0000, 0.0000, 0.4026) and Au at (0.0000, 0.0000, 0.1021).

---

Q: Look up the magnetic moment of the second one.
A: 2.029 μB per cell